Record 1
! RbH6Pt, optimized geometry, DFT PBE-GGA; values from VASP
&SYSTEM
  ibrav = 0, nat = 8, ntyp = 3
/
ATOMIC_SPECIES
Rb 85.47 Rb.upf
H 1.01 H.upf
Pt 195.08 Pt.upf
CELL_PARAMETERS angstrom
4.4216 -3.3077 0.0000
4.4216 3.3077 0.0000
-1.6373 0.0000 3.4489
ATOMIC_POSITIONS crystal
Rb 0.0000 0.0000 0.0000
H 0.1765 0.5349 0.3565
H 0.4446 0.4446 0.9972
H 0.4651 0.8235 0.6435
H 0.5349 0.1765 0.3565
H 0.5554 0.5554 0.0028
H 0.8235 0.4651 0.6435
Pt 0.5000 0.5000 0.5000
! Electronic total energy = -0.1295 Ha/atom
! Crystal system = monoclinic

Record 2
! Ac4SiCl5, optimized geometry, DFT PBE-GGA; values from VASP
&SYSTEM
  ibrav = 0, nat = 10, ntyp = 3
/
ATOMIC_SPECIES
Ac 227.00 Ac.upf
Si 28.09 Si.upf
Cl 35.45 Cl.upf
CELL_PARAMETERS angstrom
9.6934 -2.1950 0.0000
9.6934 2.1950 0.0000
-2.6857 0.0000 8.4733
ATOMIC_POSITIONS crystal
Ac 0.0005 0.0005 0.2342
Ac 0.3409 0.3409 0.8913
Ac 0.6591 0.6591 0.1087
Ac 0.9995 0.9995 0.7658
Si 0.5000 0.5000 0.0000
Cl 0.1688 0.1688 0.3434
Cl 0.1710 0.1710 0.8753
Cl 0.5000 0.5000 0.5000
Cl 0.8290 0.8290 0.1247
Cl 0.8312 0.8312 0.6566
! Electronic total energy = -0.1778 Ha/atom
! E_form (uncorrected) = -1729.3 meV per atom
! Crystal system = monoclinic

Record 3
! MgZrRh2, optimized geometry, DFT PBE-GGA; values from VASP
&SYSTEM
  ibrav = 0, nat = 4, ntyp = 3
/
ATOMIC_SPECIES
Mg 24.30 Mg.upf
Zr 91.22 Zr.upf
Rh 102.91 Rh.upf
CELL_PARAMETERS angstrom
-1.9104 1.9104 4.5507
1.9104 -1.9104 4.5507
1.9104 1.9104 -4.5507
ATOMIC_POSITIONS crystal
Mg 0.0000 0.0000 0.0000
Zr 0.2500 0.7500 0.5000
Rh 0.5000 0.5000 0.0000
Rh 0.7500 0.2500 0.5000
! Electronic total energy = -0.2504 Ha/atom
! Formation energy from the elements = -13.9 kcal/mol of atoms
! Crystal system = tetragonal

Record 4
! NdScNi2H6, optimized geometry, DFT PBE-GGA; values from VASP
&SYSTEM
  ibrav = 0, nat = 10, ntyp = 4
/
ATOMIC_SPECIES
Nd 144.24 Nd.upf
Sc 44.96 Sc.upf
Ni 58.69 Ni.upf
H 1.01 H.upf
CELL_PARAMETERS angstrom
2.2301 1.2876 5.4610
-2.2301 1.2876 5.4610
0.0000 -2.5751 5.4610
ATOMIC_POSITIONS crystal
Nd 0.0000 0.0000 0.0000
Sc 0.5000 0.5000 0.5000
Ni 0.2114 0.2114 0.2114
Ni 0.7886 0.7886 0.7886
H 0.0726 0.5640 0.5640
H 0.4360 0.4360 0.9274
H 0.4360 0.9274 0.4360
H 0.5640 0.0726 0.5640
H 0.5640 0.5640 0.0726
H 0.9274 0.4360 0.4360
! Electronic total energy = -0.1727 Ha/atom
! Crystal system = trigonal

Record 5
! In4SbS8, optimized geometry, DFT PBE-GGA; values from VASP
&SYSTEM
  ibrav = 0, nat = 13, ntyp = 3
/
ATOMIC_SPECIES
In 114.82 In.upf
Sb 121.76 Sb.upf
S 32.06 S.upf
CELL_PARAMETERS angstrom
9.3971 -1.9823 0.0000
9.3971 1.9823 0.0000
-8.7321 0.0000 10.0257
ATOMIC_POSITIONS crystal
In 0.0000 0.0000 0.0000
In 0.3366 0.3366 0.6399
In 0.5253 0.5253 0.3174
In 0.9309 0.9309 0.4932
Sb 0.7444 0.7444 0.1019
S 0.0501 0.0501 0.4686
S 0.0655 0.0655 0.2312
S 0.1176 0.1176 0.9667
S 0.3434 0.3434 0.1182
S 0.3921 0.3921 0.8736
S 0.4741 0.4741 0.6442
S 0.7403 0.7403 0.5181
S 0.7607 0.7607 0.2976
! Electronic total energy = -0.1504 Ha/atom
! E_form (uncorrected) = -393.1 meV per atom
! Crystal system = monoclinic

Record 6
! MgAs2Ir, optimized geometry, DFT PBE-GGA; values from VASP
&SYSTEM
  ibrav = 0, nat = 4, ntyp = 3
/
ATOMIC_SPECIES
Mg 24.30 Mg.upf
As 74.92 As.upf
Ir 192.22 Ir.upf
CELL_PARAMETERS angstrom
4.5915 -1.5340 0.0000
4.5915 1.5340 0.0000
-1.4195 0.0000 4.9919
ATOMIC_POSITIONS crystal
Mg 0.0000 0.0000 0.0000
As 0.5466 0.5466 0.5377
As 0.7602 0.7602 0.2022
Ir 0.2787 0.2787 0.6287
! Electronic total energy = -0.1852 Ha/atom
! Formation energy from the elements = -2.3 kcal/mol of atoms
! Crystal system = monoclinic

Record 7
! Ce8Pu3Ag2, optimized geometry, DFT PBE-GGA; values from VASP
&SYSTEM
  ibrav = 0, nat = 13, ntyp = 3
/
ATOMIC_SPECIES
Ce 140.12 Ce.upf
Pu 244.00 Pu.upf
Ag 107.87 Ag.upf
CELL_PARAMETERS angstrom
8.4492 -3.3956 0.0000
8.4492 3.3956 0.0000
-0.5427 0.0000 5.7038
ATOMIC_POSITIONS crystal
Ce 0.0455 0.0455 0.2423
Ce 0.1047 0.6332 0.2474
Ce 0.3313 0.3313 0.7263
Ce 0.3668 0.8953 0.7526
Ce 0.6332 0.1047 0.2474
Ce 0.6687 0.6687 0.2737
Ce 0.8953 0.3668 0.7526
Ce 0.9545 0.9545 0.7577
Pu 0.3188 0.6812 0.5000
Pu 0.5000 0.5000 0.0000
Pu 0.6812 0.3188 0.5000
Ag 0.2201 0.2201 0.2252
Ag 0.7799 0.7799 0.7748
! Electronic total energy = -0.2685 Ha/atom
! Formation energy from the elements = 2.1 kcal/mol of atoms
! Crystal system = monoclinic

Record 8
! Nb4AgTe8, optimized geometry, DFT PBE-GGA; values from VASP
&SYSTEM
  ibrav = 0, nat = 13, ntyp = 3
/
ATOMIC_SPECIES
Nb 92.91 Nb.upf
Ag 107.87 Ag.upf
Te 127.60 Te.upf
CELL_PARAMETERS angstrom
3.6705 2.1192 8.0681
-3.6705 2.1192 8.0681
0.0000 -4.2383 8.0681
ATOMIC_POSITIONS crystal
Nb 0.0000 0.0000 0.0000
Nb 0.0000 0.5000 0.5000
Nb 0.5000 0.0000 0.5000
Nb 0.5000 0.5000 0.0000
Ag 0.5000 0.5000 0.5000
Te 0.2450 0.2450 0.7405
Te 0.2450 0.7405 0.2450
Te 0.2564 0.2564 0.2564
Te 0.2595 0.7550 0.7550
Te 0.7405 0.2450 0.2450
Te 0.7436 0.7436 0.7436
Te 0.7550 0.2595 0.7550
Te 0.7550 0.7550 0.2595
! Electronic total energy = -0.2061 Ha/atom
! E_form (uncorrected) = -357.3 meV per atom
! Crystal system = trigonal

Record 9
! Rb2AcZnF8, optimized geometry, DFT PBE-GGA; values from VASP
&SYSTEM
  ibrav = 0, nat = 12, ntyp = 4
/
ATOMIC_SPECIES
Rb 85.47 Rb.upf
Ac 227.00 Ac.upf
Zn 65.41 Zn.upf
F 19.00 F.upf
CELL_PARAMETERS angstrom
4.4548 0.0000 0.0000
0.1684 6.4032 0.0000
0.2452 0.7794 7.4657
ATOMIC_POSITIONS crystal
Rb 0.0184 0.0287 0.2249
Rb 0.9816 0.9713 0.7751
Ac 0.5000 0.5000 0.5000
Zn 0.5000 0.5000 0.0000
F 0.0013 0.7096 0.5006
F 0.0914 0.6109 0.0683
F 0.4663 0.2654 0.7916
F 0.4966 0.7036 0.7728
F 0.5034 0.2964 0.2272
F 0.5337 0.7346 0.2084
F 0.9086 0.3891 0.9317
F 0.9987 0.2904 0.4994
! Electronic total energy = -0.1733 Ha/atom
! E_form (uncorrected) = -2857.1 meV per atom
! Crystal system = triclinic

Record 10
! RbLi2Ge2, optimized geometry, DFT PBE-GGA; values from VASP
&SYSTEM
  ibrav = 0, nat = 10, ntyp = 3
/
ATOMIC_SPECIES
Rb 85.47 Rb.upf
Li 6.94 Li.upf
Ge 72.64 Ge.upf
CELL_PARAMETERS angstrom
8.5638 0.0000 0.0000
0.0000 8.5638 0.0000
0.0000 0.0000 3.1376
ATOMIC_POSITIONS crystal
Rb 0.0000 0.0000 0.0000
Rb 0.5000 0.5000 0.0000
Li 0.1595 0.3405 0.5000
Li 0.3405 0.8405 0.5000
Li 0.6595 0.1595 0.5000
Li 0.8405 0.6595 0.5000
Ge 0.1109 0.6109 0.0000
Ge 0.3891 0.1109 0.0000
Ge 0.6109 0.8891 0.0000
Ge 0.8891 0.3891 0.0000
! Electronic total energy = -0.1049 Ha/atom
! Formation energy from the elements = -1.1 kcal/mol of atoms
! Crystal system = tetragonal

Record 11
! TmBiPtO6, optimized geometry, DFT PBE-GGA; values from VASP
&SYSTEM
  ibrav = 0, nat = 18, ntyp = 4
/
ATOMIC_SPECIES
Tm 168.93 Tm.upf
Bi 208.98 Bi.upf
Pt 195.08 Pt.upf
O 16.00 O.upf
CELL_PARAMETERS angstrom
5.4663 0.0000 0.0000
-2.7332 4.7340 0.0000
0.0000 0.0000 9.4379
ATOMIC_POSITIONS crystal
Tm 0.3333 0.6667 0.2500
Tm 0.6667 0.3333 0.7500
Bi 0.0000 0.0000 0.0000
Bi 0.0000 0.0000 0.5000
Pt 0.3333 0.6667 0.7500
Pt 0.6667 0.3333 0.2500
O 0.0268 0.3625 0.6300
O 0.0268 0.6643 0.8700
O 0.3357 0.3625 0.8700
O 0.3357 0.9732 0.6300
O 0.3625 0.0268 0.1300
O 0.3625 0.3357 0.3700
O 0.6375 0.6643 0.6300
O 0.6375 0.9732 0.8700
O 0.6643 0.0268 0.3700
O 0.6643 0.6375 0.1300
O 0.9732 0.3357 0.1300
O 0.9732 0.6375 0.3700
! Electronic total energy = -0.2333 Ha/atom
! E_form (uncorrected) = -1444.9 meV per atom
! Crystal system = trigonal

Record 12
! NaGa2Pd4, optimized geometry, DFT PBE-GGA; values from VASP
&SYSTEM
  ibrav = 0, nat = 14, ntyp = 3
/
ATOMIC_SPECIES
Na 22.99 Na.upf
Ga 69.72 Ga.upf
Pd 106.42 Pd.upf
CELL_PARAMETERS angstrom
7.8262 0.0000 0.0000
0.0000 7.8262 0.0000
0.0000 0.0000 3.9897
ATOMIC_POSITIONS crystal
Na 0.0000 0.0000 0.0000
Na 0.5000 0.5000 0.5000
Ga 0.2279 0.2279 0.5000
Ga 0.2721 0.7279 0.0000
Ga 0.7279 0.2721 0.0000
Ga 0.7721 0.7721 0.5000
Pd 0.0815 0.6632 0.5000
Pd 0.1632 0.4185 0.0000
Pd 0.3368 0.9185 0.5000
Pd 0.4185 0.1632 0.0000
Pd 0.5815 0.8368 0.0000
Pd 0.6632 0.0815 0.5000
Pd 0.8368 0.5815 0.0000
Pd 0.9185 0.3368 0.5000
! Electronic total energy = -0.1658 Ha/atom
! Formation energy from the elements = -11.3 kcal/mol of atoms
! Crystal system = tetragonal

Record 13
! TbPrDyAg, optimized geometry, DFT PBE-GGA; values from VASP
&SYSTEM
  ibrav = 0, nat = 4, ntyp = 4
/
ATOMIC_SPECIES
Tb 158.93 Tb.upf
Pr 140.91 Pr.upf
Dy 162.50 Dy.upf
Ag 107.87 Ag.upf
CELL_PARAMETERS angstrom
0.0000 3.8602 3.8602
3.8602 0.0000 3.8602
3.8602 3.8602 0.0000
ATOMIC_POSITIONS crystal
Tb 0.0000 0.0000 0.0000
Pr 0.5000 0.5000 0.5000
Dy 0.7500 0.7500 0.7500
Ag 0.2500 0.2500 0.2500
! Electronic total energy = -0.1523 Ha/atom
! Formation energy from the elements = 1.6 kcal/mol of atoms
! Crystal system = cubic

Record 14
! RbPHIr2, optimized geometry, DFT PBE-GGA; values from VASP
&SYSTEM
  ibrav = 0, nat = 5, ntyp = 4
/
ATOMIC_SPECIES
Rb 85.47 Rb.upf
P 30.97 P.upf
H 1.01 H.upf
Ir 192.22 Ir.upf
CELL_PARAMETERS angstrom
4.3616 0.0000 0.0000
0.0000 4.3616 0.0000
0.0000 0.0000 5.9035
ATOMIC_POSITIONS crystal
Rb 0.0000 0.0000 0.0000
P 0.5000 0.5000 0.5000
H 0.5000 0.5000 0.0000
Ir 0.0000 0.5000 0.5000
Ir 0.5000 0.0000 0.5000
! Electronic total energy = -0.1809 Ha/atom
! Crystal system = tetragonal

Record 15
! Tb6HgAs3S2, optimized geometry, DFT PBE-GGA; values from VASP
&SYSTEM
  ibrav = 0, nat = 12, ntyp = 4
/
ATOMIC_SPECIES
Tb 158.93 Tb.upf
Hg 200.59 Hg.upf
As 74.92 As.upf
S 32.06 S.upf
CELL_PARAMETERS angstrom
8.8868 -2.0370 0.0000
8.8868 2.0370 0.0000
-1.7094 0.0000 8.0934
ATOMIC_POSITIONS crystal
Tb 0.0050 0.0050 0.2681
Tb 0.3266 0.3266 0.9059
Tb 0.3327 0.3327 0.4131
Tb 0.6673 0.6673 0.5869
Tb 0.6734 0.6734 0.0941
Tb 0.9950 0.9950 0.7319
Hg 0.5000 0.5000 0.0000
As 0.1642 0.1642 0.8352
As 0.5000 0.5000 0.5000
As 0.8358 0.8358 0.1648
S 0.1703 0.1703 0.3418
S 0.8297 0.8297 0.6582
! Electronic total energy = -0.2091 Ha/atom
! E_form (uncorrected) = -1499.4 meV per atom
! Crystal system = monoclinic

Record 16
! ZrAsOsSe2, optimized geometry, DFT PBE-GGA; values from VASP
&SYSTEM
  ibrav = 0, nat = 5, ntyp = 4
/
ATOMIC_SPECIES
Zr 91.22 Zr.upf
As 74.92 As.upf
Os 190.23 Os.upf
Se 78.96 Se.upf
CELL_PARAMETERS angstrom
5.0996 0.0000 0.0000
0.0000 5.0996 0.0000
0.0000 0.0000 5.3113
ATOMIC_POSITIONS crystal
Zr 0.0000 0.0000 0.0000
As 0.0000 0.0000 0.5000
Os 0.5000 0.5000 0.5000
Se 0.0000 0.5000 0.0000
Se 0.5000 0.0000 0.0000
! Electronic total energy = -0.1934 Ha/atom
! E_form (uncorrected) = 1016.5 meV per atom
! Crystal system = tetragonal

Record 17
! CrCo2Se, optimized geometry, DFT PBE-GGA; values from VASP
&SYSTEM
  ibrav = 0, nat = 4, ntyp = 3
/
ATOMIC_SPECIES
Cr 52.00 Cr.upf
Co 58.93 Co.upf
Se 78.96 Se.upf
CELL_PARAMETERS angstrom
4.0295 -1.4579 0.0000
4.0295 1.4579 0.0000
-0.7029 0.0000 4.2553
ATOMIC_POSITIONS crystal
Cr 0.0000 0.0000 0.0000
Co 0.2592 0.2592 0.7707
Co 0.7408 0.7408 0.2293
Se 0.5000 0.5000 0.5000
! Electronic total energy = -0.2414 Ha/atom
! E_form (uncorrected) = 260.2 meV per atom
! Crystal system = monoclinic

Record 18
! Rb2NbTlTc, optimized geometry, DFT PBE-GGA; values from VASP
&SYSTEM
  ibrav = 0, nat = 5, ntyp = 4
/
ATOMIC_SPECIES
Rb 85.47 Rb.upf
Nb 92.91 Nb.upf
Tl 204.38 Tl.upf
Tc 98.00 Tc.upf
CELL_PARAMETERS angstrom
6.9627 0.0000 0.0000
0.0000 6.9627 0.0000
0.0000 0.0000 4.5444
ATOMIC_POSITIONS crystal
Rb 0.0000 0.5000 0.0000
Rb 0.5000 0.0000 0.0000
Nb 0.0000 0.0000 0.0000
Tl 0.5000 0.5000 0.5000
Tc 0.0000 0.0000 0.5000
! Electronic total energy = -0.1356 Ha/atom
! Formation energy from the elements = 29.0 kcal/mol of atoms
! Crystal system = tetragonal

Record 19
! KMnPt2C, optimized geometry, DFT PBE-GGA; values from VASP
&SYSTEM
  ibrav = 0, nat = 5, ntyp = 4
/
ATOMIC_SPECIES
K 39.10 K.upf
Mn 54.94 Mn.upf
Pt 195.08 Pt.upf
C 12.01 C.upf
CELL_PARAMETERS angstrom
4.8498 0.0000 0.0000
0.0000 4.8498 0.0000
0.0000 0.0000 3.7949
ATOMIC_POSITIONS crystal
K 0.0000 0.0000 0.0000
Mn 0.5000 0.5000 0.5000
Pt 0.0000 0.5000 0.5000
Pt 0.5000 0.0000 0.5000
C 0.5000 0.5000 0.0000
! Electronic total energy = -0.1938 Ha/atom
! Formation energy from the elements = 24.0 kcal/mol of atoms
! Crystal system = tetragonal

Record 20
! PaCoN2, optimized geometry, DFT PBE-GGA; values from VASP
&SYSTEM
  ibrav = 0, nat = 4, ntyp = 3
/
ATOMIC_SPECIES
Pa 231.04 Pa.upf
Co 58.93 Co.upf
N 14.01 N.upf
CELL_PARAMETERS angstrom
1.8456 1.0656 5.4010
-1.8456 1.0656 5.4010
0.0000 -2.1311 5.4010
ATOMIC_POSITIONS crystal
Pa 0.0000 0.0000 0.0000
Co 0.5000 0.5000 0.5000
N 0.3886 0.3886 0.3886
N 0.6114 0.6114 0.6114
! Electronic total energy = -0.3380 Ha/atom
! E_form (uncorrected) = -883.3 meV per atom
! Crystal system = trigonal

Record 21
! Tm2Zn6Ru, optimized geometry, DFT PBE-GGA; values from VASP
&SYSTEM
  ibrav = 0, nat = 9, ntyp = 3
/
ATOMIC_SPECIES
Tm 168.93 Tm.upf
Zn 65.41 Zn.upf
Ru 101.07 Ru.upf
CELL_PARAMETERS angstrom
5.5781 0.0000 0.0000
-2.7890 4.8308 0.0000
0.0000 0.0000 5.8326
ATOMIC_POSITIONS crystal
Tm 0.3333 0.6667 0.3632
Tm 0.6667 0.3333 0.6368
Zn 0.1764 0.3528 0.8305
Zn 0.1764 0.8236 0.8305
Zn 0.3528 0.1764 0.1695
Zn 0.6472 0.8236 0.8305
Zn 0.8236 0.1764 0.1695
Zn 0.8236 0.6472 0.1695
Ru 0.0000 0.0000 0.5000
! Electronic total energy = -0.1171 Ha/atom
! Formation energy from the elements = -7.2 kcal/mol of atoms
! Crystal system = trigonal

Record 22
! NaC, optimized geometry, DFT PBE-GGA; values from VASP
&SYSTEM
  ibrav = 0, nat = 2, ntyp = 2
/
ATOMIC_SPECIES
Na 22.99 Na.upf
C 12.01 C.upf
CELL_PARAMETERS angstrom
0.0000 2.5757 2.5757
2.5757 0.0000 2.5757
2.5757 2.5757 0.0000
ATOMIC_POSITIONS crystal
Na 0.0000 0.0000 0.0000
C 0.5000 0.5000 0.5000
! Electronic total energy = -0.1005 Ha/atom
! Formation energy from the elements = 58.5 kcal/mol of atoms
! Crystal system = cubic

Record 23
! MnFeRe, optimized geometry, DFT PBE-GGA; values from VASP
&SYSTEM
  ibrav = 0, nat = 3, ntyp = 3
/
ATOMIC_SPECIES
Mn 54.94 Mn.upf
Fe 55.84 Fe.upf
Re 186.21 Re.upf
CELL_PARAMETERS angstrom
-1.3089 1.8342 3.8843
1.3089 -1.8342 3.8843
1.3089 1.8342 -3.8843
ATOMIC_POSITIONS crystal
Mn 0.0000 0.0000 0.0000
Fe 0.3395 0.3395 0.0000
Re 0.6706 0.6706 0.0000
! Electronic total energy = -0.3647 Ha/atom
! Formation energy from the elements = 2.4 kcal/mol of atoms
! Crystal system = orthorhombic

Record 24
! LiTlFe2, optimized geometry, DFT PBE-GGA; values from VASP
&SYSTEM
  ibrav = 0, nat = 4, ntyp = 3
/
ATOMIC_SPECIES
Li 6.94 Li.upf
Tl 204.38 Tl.upf
Fe 55.84 Fe.upf
CELL_PARAMETERS angstrom
3.2696 0.0000 0.0000
0.0000 3.2696 0.0000
0.0000 0.0000 5.7276
ATOMIC_POSITIONS crystal
Li 0.0000 0.0000 0.0000
Tl 0.0000 0.0000 0.5000
Fe 0.5000 0.5000 0.2077
Fe 0.5000 0.5000 0.7923
! Electronic total energy = -0.1762 Ha/atom
! Formation energy from the elements = 11.7 kcal/mol of atoms
! Crystal system = tetragonal